No. 1
ZnFeNi14 | PBE | optimized geometry

Unit cell a=8.1656 b=4.9993 c=4.9993 alpha=60.34 beta=90.00 gamma=90.00
Closest atoms and distances in Å follow each position.
Sites, in units of the cell vectors:
Zn 0.0000 0.0000 0.0000  10 Ni 2.50-2.52, 2 Fe 2.51
Fe 0.0000 0.4994 0.4994  10 Ni 2.49-2.51, 2 Zn 2.51
Ni 0.0000 0.0008 0.4994  8 Ni 2.49-2.52, 2 Fe 2.49-2.51, 2 Zn 2.50
Ni 0.0000 0.4994 0.0008  8 Ni 2.49-2.52, 2 Fe 2.49-2.51, 2 Zn 2.50
Ni 0.2490 0.3323 0.3323  11 Ni 2.49-2.51, 1 Fe 2.49
Ni 0.2509 0.3345 0.8306  10 Ni 2.48-2.53, 1 Fe 2.50, 1 Zn 2.51
Ni 0.2509 0.8306 0.3345  10 Ni 2.48-2.53, 1 Fe 2.50, 1 Zn 2.51
Ni 0.2523 0.8312 0.8312  11 Ni 2.48-2.51, 1 Zn 2.52
Ni 0.5000 0.1646 0.1646  12 Ni 2.50-2.51
Ni 0.5000 0.1651 0.6641  12 Ni 2.49-2.52
Ni 0.5000 0.6641 0.1651  12 Ni 2.49-2.52
Ni 0.5000 0.6649 0.6649  12 Ni 2.48-2.51
Ni 0.7477 0.8312 0.8312  11 Ni 2.48-2.51, 1 Zn 2.52
Ni 0.7491 0.3345 0.8306  10 Ni 2.48-2.53, 1 Fe 2.50, 1 Zn 2.51
Ni 0.7491 0.8306 0.3345  10 Ni 2.48-2.53, 1 Fe 2.50, 1 Zn 2.51
Ni 0.7510 0.3323 0.3323  11 Ni 2.49-2.51, 1 Fe 2.49

Output
space group	Amm2
calculated total energy	-91.03	eV/cell

No. 2
CrCoTe2 | PBE | optimized geometry

Unit cell a=4.8132 b=4.3100 c=4.3100 alpha=75.08 beta=90.00 gamma=90.00
Closest atoms and distances in Å follow each position.
Sites, in units of the cell vectors:
Cr 0.0000 0.0000 0.0000  5 Te 2.64-2.74, 2 Co 2.81
Co 0.5000 0.7883 0.7883  5 Te 2.63-2.74, 2 Cr 2.81
Te 0.0000 0.6141 0.6141  3 Cr 2.64-2.74, 2 Co 2.69
Te 0.5000 0.1730 0.1730  3 Co 2.63-2.74, 2 Cr 2.68

Output
space group	Amm2
energy above the most stable polymorph in this dataset	210.0	meV/atom
formation energy (no corrections)	0.10	eV/atom
calculated total energy	-22.60	eV/cell